# 1
The following is a DFT calculation (GGA-PBE) of a relaxed Rb3Cu2AgCl8 crystal.

Unit cell a=7.1411 b=7.1411 c=9.3066 alpha=90.00 beta=90.00 gamma=120.00
Space group P-3m1 (No. 164)
Unique sites:
Rb: 0.0000 0.0000 0.0000 [1 per cell]
Rb: 0.3333 0.6667 0.6307 [2 per cell]
Cu: 0.3333 0.6667 0.2089 [2 per cell]
Ag: 0.0000 0.0000 0.5000 [1 per cell]
Cl: 0.1685 0.3370 0.3262 [6 per cell]
Cl: 0.3333 0.6667 0.9748 [2 per cell]

=====

# 2
The following is a DFT calculation (GGA-PBE) of a relaxed RbCuAg2Cl4 crystal.

Unit cell a=6.963 b=6.963 c=8.728 alpha=90.00 beta=90.00 gamma=90.00
Space group I-42m (No. 121)
Unique sites:
Rb: 0.000 0.000 0.000 [2 per cell]
Cu: 0.000 0.000 0.500 [2 per cell]
Ag: 0.000 0.500 0.250 [4 per cell]
Cl: 0.194 0.194 0.346 [8 per cell]

=====

# 3
The following is a DFT calculation (GGA-PBE) of a relaxed RbCuAgCl4 crystal.

Unit cell a=10.972 b=10.972 c=10.972 alpha=90.00 beta=90.00 gamma=90.00
Space group F-43m (No. 216)
Unique sites:
Rb: 0.000 0.000 0.000 [4 per cell]
Cu: 0.000 0.000 0.500 [4 per cell]
Ag: 0.250 0.250 0.750 [4 per cell]
Cl: 0.118 0.118 0.618 [16 per cell]

=====

# 4
The following is a DFT calculation (GGA-PBE) of a relaxed Rb2CuAg2Cl6 crystal.

Unit cell a=7.6344 b=7.6344 c=19.0658 alpha=90.00 beta=90.00 gamma=120.00
Space group R-3m (No. 166, hexagonal axes)
Unique sites:
Rb: 0.0000 0.0000 0.2259 [6 per cell]
Cu: 0.0000 0.0000 0.0000 [3 per cell]
Ag: 0.0000 0.0000 0.4225 [6 per cell]
Cl: 0.0395 0.5198 0.7463 [18 per cell]

=====

# 5
The following is a DFT calculation (GGA-PBE) of a relaxed Rb3Cu2AgCl9 crystal.

Unit cell a=7.0459 b=7.0459 c=8.6530 alpha=90.00 beta=90.00 gamma=120.00
Space group P-3m1 (No. 164)
Unique sites:
Rb: 0.0000 0.0000 0.0000 [1 per cell]
Rb: 0.3333 0.6667 0.6662 [2 per cell]
Cu: 0.3333 0.6667 0.1604 [2 per cell]
Ag: 0.0000 0.0000 0.5000 [1 per cell]
Cl: 0.0000 0.5000 0.0000 [3 per cell]
Cl: 0.1727 0.3455 0.3234 [6 per cell]

=====

# 6
The following is a DFT calculation (GGA-PBE) of a relaxed Rb3CuAg2Cl6 crystal.

Unit cell a=7.6816 b=7.6816 c=8.2221 alpha=90.00 beta=90.00 gamma=120.00
Space group P-3m1 (No. 164)
Unique sites:
Rb: 0.0000 0.0000 0.0000 [1 per cell]
Rb: 0.3333 0.6667 0.6399 [2 per cell]
Cu: 0.0000 0.0000 0.5000 [1 per cell]
Ag: 0.3333 0.6667 0.2255 [2 per cell]
Cl: 0.1528 0.3056 0.3088 [6 per cell]

=====

Values for raw total energy, Ry/atom, ordered as above
-0.2333 -0.2255 -0.2166 -0.2226 -0.2291 -0.2236
Values for ΔE_f (raw), eV/atom, ordered as above
-1.122 -0.799 -0.761 -0.954 -1.079 -1.060